[1]
VASP calculation (PBE-GGA) on an optimized crystal structure of AlReAs2Se.

```
data_AlReAs2Se
_cell_length_a 4.749
_cell_length_b 4.749
_cell_length_c 4.789
_cell_angle_alpha 90.00
_cell_angle_beta 90.00
_cell_angle_gamma 90.00
_space_group_name_H-M_alt 'P 4/m m m'
_space_group_IT_number 123
_space_group_name_Hall '-P 4 2'
loop_
_atom_site_label
_atom_site_type_symbol
_atom_site_fract_x
_atom_site_fract_y
_atom_site_fract_z
Al1 Al 0.000 0.000 0.000
Re1 Re 0.500 0.500 0.500
As1 As 0.000 0.500 0.000
Se1 Se 0.000 0.000 0.500
```

Computed properties:
Fermi-level density of states: 3.48 states/eV per cell
Total magnetic moment: 2.73 μB/cell
Energy above the lowest structure with this stoichiometry: 660 meV per atom


[2]
VASP calculation (PBE-GGA) on an optimized crystal structure of AlRe2SnAs.

```
data_AlRe2SnAs
_cell_length_a 4.657
_cell_length_b 4.657
_cell_length_c 4.875
_cell_angle_alpha 90.00
_cell_angle_beta 90.00
_cell_angle_gamma 90.00
_space_group_name_H-M_alt 'P 4/m m m'
_space_group_IT_number 123
_space_group_name_Hall '-P 4 2'
loop_
_atom_site_label
_atom_site_type_symbol
_atom_site_fract_x
_atom_site_fract_y
_atom_site_fract_z
Al1 Al 0.000 0.000 0.000
Re1 Re 0.000 0.500 0.000
Sn1 Sn 0.000 0.000 0.500
As1 As 0.500 0.500 0.500
```

Computed properties:
Fermi-level density of states: 5.31 states/eV per cell
Total magnetic moment: 2.12 μB/cell
Energy of formation from the pure elements: 1.774 eV/atom


[3]
VASP calculation (PBE-GGA) on an optimized crystal structure of SrAlReAs2.

```
data_SrAlReAs2
_cell_length_a 4.943
_cell_length_b 4.943
_cell_length_c 4.860
_cell_angle_alpha 90.00
_cell_angle_beta 90.00
_cell_angle_gamma 90.00
_space_group_name_H-M_alt 'P 4/m m m'
_space_group_IT_number 123
_space_group_name_Hall '-P 4 2'
loop_
_atom_site_label
_atom_site_type_symbol
_atom_site_fract_x
_atom_site_fract_y
_atom_site_fract_z
Sr1 Sr 0.000 0.000 0.000
Al1 Al 0.500 0.500 0.000
Re1 Re 0.500 0.500 0.500
As1 As 0.000 0.500 0.500
```

Computed properties:
Fermi-level density of states: 3.54 states/eV per cell
Total magnetic moment: 0.00 μB/cell
Energy of formation from the pure elements: -0.001 eV/atom


[4]
VASP calculation (PBE-GGA) on an optimized crystal structure of Al2VReAs.

```
data_Al2VReAs
_cell_length_a 4.633
_cell_length_b 4.633
_cell_length_c 4.446
_cell_angle_alpha 90.00
_cell_angle_beta 90.00
_cell_angle_gamma 90.00
_space_group_name_H-M_alt 'P 4/m m m'
_space_group_IT_number 123
_space_group_name_Hall '-P 4 2'
loop_
_atom_site_label
_atom_site_type_symbol
_atom_site_fract_x
_atom_site_fract_y
_atom_site_fract_z
Al1 Al 0.000 0.500 0.000
V1 V 0.000 0.000 0.500
Re1 Re 0.500 0.500 0.500
As1 As 0.000 0.000 0.000
```

Computed properties:
Fermi-level density of states: 5.18 states/eV per cell
Total magnetic moment: 0.23 μB/cell
Energy of formation from the pure elements: 1.242 eV/atom


[5]
VASP calculation (PBE-GGA) on an optimized crystal structure of Al2AsRh.

```
data_Al2AsRh
_cell_length_a 3.820
_cell_length_b 4.162
_cell_length_c 7.710
_cell_angle_alpha 90.00
_cell_angle_beta 90.00
_cell_angle_gamma 90.00
_space_group_name_H-M_alt 'I m m m'
_space_group_IT_number 71
_space_group_name_Hall '-I 2 2'
loop_
_atom_site_label
_atom_site_type_symbol
_atom_site_fract_x
_atom_site_fract_y
_atom_site_fract_z
Al1 Al 0.000 0.000 0.249
As1 As 0.000 0.500 0.000
Rh1 Rh 0.000 0.500 0.500
```

Computed properties:
Fermi-level density of states: 3.11 states/eV per cell
Total magnetic moment: 0.00 μB/cell
Energy of formation from the pure elements: -0.295 eV/atom


[6]
VASP calculation (PBE-GGA) on an optimized crystal structure of Al2AsRh2.

```
data_Al2AsRh2
_cell_length_a 7.249
_cell_length_b 7.249
_cell_length_c 2.893
_cell_angle_alpha 90.00
_cell_angle_beta 90.00
_cell_angle_gamma 90.00
_space_group_name_H-M_alt 'P 4/m b m'
_space_group_IT_number 127
_space_group_name_Hall '-P 4 2ab'
loop_
_atom_site_label
_atom_site_type_symbol
_atom_site_fract_x
_atom_site_fract_y
_atom_site_fract_z
Al1 Al 0.143 0.357 0.000
As1 As 0.000 0.000 0.500
Rh1 Rh 0.152 0.652 0.500
```

Computed properties:
Fermi-level density of states: 6.08 states/eV per cell
Total magnetic moment: 0.00 μB/cell
Energy above the lowest structure with this stoichiometry: 0 meV per atom
Energy of formation from the pure elements: -0.609 eV/atom


[7]
VASP calculation (PBE-GGA) on an optimized crystal structure of Al2AsRh.

```
data_Al2AsRh
_cell_length_a 5.688
_cell_length_b 5.688
_cell_length_c 11.165
_cell_angle_alpha 90.00
_cell_angle_beta 90.00
_cell_angle_gamma 90.00
_space_group_name_H-M_alt 'I -4 2 d'
_space_group_IT_number 122
_space_group_name_Hall 'I -4 2bw'
loop_
_atom_site_label
_atom_site_type_symbol
_atom_site_fract_x
_atom_site_fract_y
_atom_site_fract_z
Al1 Al 0.238 0.250 0.125
As1 As 0.000 0.000 0.500
Rh1 Rh 0.000 0.000 0.000
```

Computed properties:
Fermi-level density of states: 0.00 states/eV per cell
Total magnetic moment: 0.00 μB/cell
Energy of formation from the pure elements: -0.058 eV/atom


[8]
VASP calculation (PBE-GGA) on an optimized crystal structure of Al2AsRh.

```
data_Al2AsRh
_cell_length_a 4.351
_cell_length_b 3.147
_cell_length_c 4.961
_cell_angle_alpha 90.00
_cell_angle_beta 112.07
_cell_angle_gamma 90.00
_space_group_name_H-M_alt 'P 1 2/m 1'
_space_group_IT_number 10
loop_
_space_group_symop_operation_xyz
'x,y,z'
'-x,-y,-z'
'-x,y,-z'
'x,-y,z'
loop_
_atom_site_label
_atom_site_type_symbol
_atom_site_fract_x
_atom_site_fract_y
_atom_site_fract_z
Al1 Al 0.000 0.000 0.000
Al2 Al 0.000 0.500 0.500
As1 As 0.500 0.000 0.500
Rh1 Rh 0.500 0.500 0.000
```

Computed properties:
Fermi-level density of states: 1.35 states/eV per cell
Total magnetic moment: 0.00 μB/cell
Energy of formation from the pure elements: -0.302 eV/atom


[9]
VASP calculation (PBE-GGA) on an optimized crystal structure of Al2AsRh.

```
data_Al2AsRh
_cell_length_a 8.686
_cell_length_b 3.032
_cell_length_c 4.809
_cell_angle_alpha 90.00
_cell_angle_beta 99.64
_cell_angle_gamma 90.00
_space_group_name_H-M_alt 'C 1 2/m 1'
_space_group_IT_number 12
loop_
_space_group_symop_operation_xyz
'x,y,z'
'-x,-y,-z'
'-x,y,-z'
'x,-y,z'
'x+1/2,y+1/2,z'
'-x+1/2,-y+1/2,-z'
'-x+1/2,y+1/2,-z'
'x+1/2,-y+1/2,z'
loop_
_atom_site_label
_atom_site_type_symbol
_atom_site_fract_x
_atom_site_fract_y
_atom_site_fract_z
Al1 Al 0.238 0.000 0.231
As1 As 0.000 0.000 0.500
Rh1 Rh 0.000 0.500 0.000
```

Computed properties:
Fermi-level density of states: 2.91 states/eV per cell
Total magnetic moment: 0.00 μB/cell
Energy of formation from the pure elements: -0.299 eV/atom


[10]
VASP calculation (PBE-GGA) on an optimized crystal structure of Al3AsRh.

```
data_Al3AsRh
_cell_length_a 4.722
_cell_length_b 4.722
_cell_length_c 4.722
_cell_angle_alpha 90.00
_cell_angle_beta 90.00
_cell_angle_gamma 90.00
_space_group_name_H-M_alt 'P m -3 m'
_space_group_IT_number 221
_space_group_name_Hall '-P 4 2 3'
loop_
_atom_site_label
_atom_site_type_symbol
_atom_site_fract_x
_atom_site_fract_y
_atom_site_fract_z
Al1 Al 0.000 0.000 0.500
As1 As 0.000 0.000 0.000
Rh1 Rh 0.500 0.500 0.500
```

Computed properties:
Fermi-level density of states: 3.45 states/eV per cell
Total magnetic moment: 0.00 μB/cell
Energy above the lowest structure with this stoichiometry: 841 meV per atom
Energy of formation from the pure elements: 0.814 eV/atom


[11]
VASP calculation (PBE-GGA) on an optimized crystal structure of Al2AsRh.

```
data_Al2AsRh
_cell_length_a 6.321
_cell_length_b 6.321
_cell_length_c 6.321
_cell_angle_alpha 90.00
_cell_angle_beta 90.00
_cell_angle_gamma 90.00
_space_group_name_H-M_alt 'F -4 3 m'
_space_group_IT_number 216
_space_group_name_Hall 'F -4 2 3'
loop_
_atom_site_label
_atom_site_type_symbol
_atom_site_fract_x
_atom_site_fract_y
_atom_site_fract_z
Al1 Al 0.000 0.000 0.000
Al2 Al 0.250 0.250 0.250
As1 As 0.000 0.000 0.500
Rh1 Rh 0.250 0.250 0.750
```

Computed properties:
Fermi-level density of states: 5.64 states/eV per cell
Total magnetic moment: 0.00 μB/cell
Energy of formation from the pure elements: -0.148 eV/atom


[12]
VASP calculation (PBE-GGA) on an optimized crystal structure of Al2AsRh.

```
data_Al2AsRh
_cell_length_a 3.0351
_cell_length_b 3.0351
_cell_length_c 24.0672
_cell_angle_alpha 90.00
_cell_angle_beta 90.00
_cell_angle_gamma 120.00
_space_group_name_H-M_alt 'R -3 m'
_space_group_IT_number 166
_space_group_name_Hall '-R 3 2"'
loop_
_atom_site_label
_atom_site_type_symbol
_atom_site_fract_x
_atom_site_fract_y
_atom_site_fract_z
Al1 Al 0.0000 0.0000 0.2420
As1 As 0.0000 0.0000 0.0000
Rh1 Rh 0.0000 0.0000 0.5000
```

Computed properties:
Fermi-level density of states: 6.63 states/eV per cell
Total magnetic moment: 0.00 μB/cell
Energy of formation from the pure elements: -0.367 eV/atom


Number 1: calculated volume 108.0 Å³ per cell. Number 2: calculated volume 105.7 Å³ per cell. Number 3: calculated volume 118.7 Å³ per cell. Number 4: calculated volume 95.4 Å³ per cell. Number 5: calculated volume 122.6 Å³ per cell. Number 6: calculated volume 152.0 Å³ per cell. Number 7: calculated volume 361.2 Å³ per cell. Number 8: calculated volume 62.9 Å³ per cell. Number 9: calculated volume 124.9 Å³ per cell. Number 10: calculated volume 105.3 Å³ per cell. Number 11: calculated volume 252.6 Å³ per cell. Number 12: calculated volume 192.0 Å³ per cell.